# Ca2CuRh (PBE, relaxed)
# spin magnetization	0.0	μB/f.u.
# energy of formation from the pure elements	-112.2	meV per atom
# space group	P4mm (99)
data_Ca2CuRh
_space_group_name_H-M_alt 'P 1'
_space_group_IT_number 1
_cell_length_a 3.447
_cell_length_b 3.447
_cell_length_c 7.948
_cell_angle_alpha 90.00
_cell_angle_beta 90.00
_cell_angle_gamma 90.00
loop_
_space_group_symop_operation_xyz
'x,y,z'
loop_
_atom_site_label
_atom_site_type_symbol
_atom_site_fract_x
_atom_site_fract_y
_atom_site_fract_z
_atom_site_occupancy
Ca1 Ca 0.500 0.500 0.335 1
Ca2 Ca 0.000 0.000 0.915 1
Rh1 Rh 0.500 0.500 0.690 1
Cu1 Cu 0.000 0.000 0.560 1

---

# CsLi2DyCl6 (PBE, relaxed)
# spin magnetization	0.0	μB/f.u.
# space group	P-1 (2)
# energy relative to the elements, uncorrected	-2066	meV/atom
data_CsLi2DyCl6
_space_group_name_H-M_alt 'P 1'
_space_group_IT_number 1
_cell_length_a 6.624
_cell_length_b 6.626
_cell_length_c 9.195
_cell_angle_alpha 68.93
_cell_angle_beta 68.81
_cell_angle_gamma 59.95
loop_
_space_group_symop_operation_xyz
'x,y,z'
loop_
_atom_site_label
_atom_site_type_symbol
_atom_site_fract_x
_atom_site_fract_y
_atom_site_fract_z
_atom_site_occupancy
Cl1 Cl 0.922 0.594 0.224 1
Cl2 Cl 0.711 0.039 0.879 1
Cl3 Cl 0.039 0.372 0.879 1
Cl4 Cl 0.373 0.709 0.879 1
Cl5 Cl 0.260 0.923 0.224 1
Cl6 Cl 0.593 0.260 0.224 1
Dy1 Dy 0.316 0.316 0.052 1
Li1 Li 0.645 0.645 0.065 1
Li2 Li 0.987 0.988 0.038 1
Cs1 Cs 0.816 0.816 0.551 1

---

# UBP2 (PBE, relaxed)
# spin magnetization	0.7	μB/f.u.
# energy of formation from the pure elements	416.5	meV per atom
# distance to the lowest polymorph of the same formula	0.699	eV per atom
# space group	R-3m (166)
data_UBP2
_space_group_name_H-M_alt 'P 1'
_space_group_IT_number 1
_cell_length_a 2.915
_cell_length_b 2.915
_cell_length_c 8.292
_cell_angle_alpha 79.88
_cell_angle_beta 79.88
_cell_angle_gamma 60.00
loop_
_space_group_symop_operation_xyz
'x,y,z'
loop_
_atom_site_label
_atom_site_type_symbol
_atom_site_fract_x
_atom_site_fract_y
_atom_site_fract_z
_atom_site_occupancy
P1 P 0.885 0.885 0.345 1
P2 P 0.115 0.115 0.655 1
U1 U 0.000 0.000 0.000 1
B1 B 0.500 0.500 0.500 1